# FeH2Au PBE-GGA optimized geometry
# volume: 9.05 Å³ per atom
# ΔE to the lowest computed polymorph: 0 meV/atom
# VASP energy: -4.432 eV/atom
# mass density: 11.7 g cm⁻³
data_FeH2Au
_cell_length_a 2.7960
_cell_length_b 2.7960
_cell_length_c 16.0489
_cell_angle_alpha 90.00
_cell_angle_beta 90.00
_cell_angle_gamma 120.00
_space_group_name_H-M_alt 'R 3 m'
_space_group_IT_number 160
_space_group_name_Hall 'R 3 -2"'
loop_
_atom_site_label
_atom_site_fract_x
_atom_site_fract_y
_atom_site_fract_z
_atom_site_occupancy
Fe1 0.0000 0.0000 0.0000 1
H1 0.0000 0.0000 0.3745 1
H2 0.0000 0.0000 0.6308 1
Au1 0.0000 0.0000 0.1730 1